Compound: YNi6BP
Source: Alexandria
Functional: PBE
Structure: optimized geometry

Output
Its magnetization is 0.0 μB per formula unit. As for the formation energy: -0.19 eV per atom.

The structure in CIF format:
```
data_YNi6BP
_chemical_formula_sum 'Y4 Ni24 B4 P4'
_cell_length_a 6.5591
_cell_length_b 7.4958
_cell_length_c 10.1619
_cell_angle_alpha 90.00
_cell_angle_beta 90.00
_cell_angle_gamma 90.00
_symmetry_space_group_name_H-M 'I m m a'
_symmetry_Int_Tables_number 74
_symmetry_space_group_name_Hall '-I 2b 2'
loop_
_atom_site_label
_atom_site_fract_x
_atom_site_fract_y
_atom_site_fract_z
_atom_site_occupancy
Y1 0.0000 0.2500 0.1753 1
Ni1 0.0000 0.2500 0.4481 1
Ni2 0.0000 0.2500 0.8870 1
Ni3 0.2152 0.0235 0.6243 1
B1 0.0000 0.0000 0.5000 1
P1 0.2500 0.2500 0.7500 1
```